Entry 1:
Material: NaSbPO2
Method: DFT, GGA-PBE
State: optimized geometry

Computed properties:
* VASP energy: -17.96 eV/cell
* total magnetic moment: 2.3 μB/f.u.
* Fermi-level density of states: 0.985 states/eV/atom
* distance to the lowest polymorph of the same formula: 1039.7 meV per atom

abc: 4.0982 4.0982 5.1389
angles: 90.00 90.00 90.00
Space group P4/mmm (No. 123)
Inequivalent atoms, fractional coordinates:
Na 0.0000 0.0000 0.0000 x1
Sb 0.5000 0.5000 0.5000 x1
P 0.0000 0.0000 0.5000 x1
O 0.0000 0.5000 0.0000 x2


Entry 2:
Material: GdHoIn
Method: DFT, GGA-PBE
State: optimized geometry

Computed properties:
* calculated formation energy: -233 meV/atom
* VASP energy: -22.10 eV/cell
* total magnetic moment: 7.3 μB/f.u.
* Fermi-level density of states: 1.044 states/eV/atom
* distance to the lowest polymorph of the same formula: 79.1 meV per atom

abc: 5.2416 5.2416 3.6096
angles: 90.00 90.00 120.00
Space group P3m1 (No. 156)
Inequivalent atoms, fractional coordinates:
Gd 0.0000 0.0000 0.0000 x1
Ho 0.3333 0.6667 0.4379 x1
In 0.6667 0.3333 0.6810 x1


Entry 3:
Material: K4TaW
Method: DFT, GGA-PBE
State: optimized geometry

Computed properties:
* calculated formation energy: 2017 meV/atom
* VASP energy: -68.37 eV/cell
* total magnetic moment: 0.1 μB/f.u.
* Fermi-level density of states: 0.662 states/eV/atom

abc: 9.3731 9.3731 9.3731
angles: 90.00 90.00 90.00
Space group F-43m (No. 216)
Inequivalent atoms, fractional coordinates:
K 0.1253 0.1253 0.1253 x16
Ta 0.2500 0.2500 0.7500 x4
W 0.0000 0.0000 0.5000 x4


Entry 4:
Material: Ca3CuHg2
Method: DFT, GGA-PBE
State: optimized geometry

Computed properties:
* calculated formation energy: -369 meV/atom
* VASP energy: -25.84 eV/cell
* total magnetic moment: 0.0 μB/f.u.
* Fermi-level density of states: 0.723 states/eV/atom

abc: 5.3282 15.8849 3.6812
angles: 90.00 90.00 90.00
Space group Cmmm (No. 65)
Inequivalent atoms, fractional coordinates:
Ca 0.0000 0.0000 0.0000 x2
Ca 0.0000 0.3407 0.0000 x4
Cu 0.0000 0.5000 0.5000 x2
Hg 0.0000 0.1688 0.5000 x4


Entry 5:
Material: Rb2SiBiO4
Method: DFT, GGA-PBE
State: optimized geometry

Computed properties:
* VASP energy: -90.99 eV/cell
* total magnetic moment: 1.0 μB/f.u.
* Fermi-level density of states: 0.071 states/eV/atom

abc: 6.4915 6.4915 7.2589
angles: 90.00 90.00 90.00
Space group I-4 (No. 82)
Inequivalent atoms, fractional coordinates:
Rb 0.0000 0.0000 0.0000 x2
Rb 0.0000 0.5000 0.2500 x2
Si 0.0000 0.5000 0.7500 x2
Bi 0.0000 0.0000 0.5000 x2
O 0.1135 0.6733 0.6137 x8


Entry 6:
Material: CeNdY6
Method: DFT, GGA-PBE
State: optimized geometry

Computed properties:
* calculated formation energy: 49 meV/atom
* VASP energy: -49.09 eV/cell
* total magnetic moment: 0.9 μB/f.u.
* Fermi-level density of states: 1.687 states/eV/atom
* distance to the lowest polymorph of the same formula: 0.0 meV per atom

abc: 5.0712 5.0712 10.1256
angles: 90.00 90.00 90.00
Space group P4/mmm (No. 123)
Inequivalent atoms, fractional coordinates:
Ce 0.0000 0.0000 0.0000 x1
Nd 0.0000 0.0000 0.5000 x1
Y 0.0000 0.5000 0.2466 x4
Y 0.5000 0.5000 0.0000 x1
Y 0.5000 0.5000 0.5000 x1


Entry 7:
Material: MgRePb2
Method: DFT, GGA-PBE
State: optimized geometry

Computed properties:
* calculated formation energy: 583 meV/atom
* VASP energy: -19.13 eV/cell
* total magnetic moment: 0.0 μB/f.u.
* Fermi-level density of states: 0.683 states/eV/atom

abc: 2.9482 4.1933 7.9488
angles: 90.00 90.00 90.00
Space group Pmm2 (No. 25)
Inequivalent atoms, fractional coordinates:
Mg 0.0000 0.0000 0.0000 x1
Re 0.5000 0.5000 0.8472 x1
Pb 0.0000 0.0000 0.6235 x1
Pb 0.5000 0.5000 0.2262 x1


Entry 8:
Material: MnCo2MoN
Method: DFT, GGA-PBE
State: optimized geometry

Computed properties:
* VASP energy: -42.71 eV/cell
* total magnetic moment: 4.4 μB/f.u.
* Fermi-level density of states: 0.666 states/eV/atom

abc: 3.7643 3.7643 4.0651
angles: 90.00 90.00 90.00
Space group P4/mmm (No. 123)
Inequivalent atoms, fractional coordinates:
Mn 0.0000 0.0000 0.0000 x1
Co 0.0000 0.5000 0.5000 x2
Mo 0.5000 0.5000 0.0000 x1
N 0.5000 0.5000 0.5000 x1


Entry 9:
Material: K3HfPd
Method: DFT, GGA-PBE
State: optimized geometry

Computed properties:
* calculated formation energy: 1556 meV/atom
* VASP energy: -10.66 eV/cell
* total magnetic moment: 3.0 μB/f.u.
* Fermi-level density of states: 1.066 states/eV/atom
* distance to the lowest polymorph of the same formula: 489.5 meV per atom

abc: 6.5327 6.5327 6.5327
angles: 90.00 90.00 90.00
Space group Pm-3m (No. 221)
Inequivalent atoms, fractional coordinates:
K 0.0000 0.0000 0.5000 x3
Hf 0.0000 0.0000 0.0000 x1
Pd 0.5000 0.5000 0.5000 x1


Entry 10:
Material: HfZn2AgBi
Method: DFT, GGA-PBE
State: optimized geometry

Computed properties:
* calculated formation energy: 1082 meV/atom
* VASP energy: -13.82 eV/cell
* total magnetic moment: 0.0 μB/f.u.
* Fermi-level density of states: 0.581 states/eV/atom

abc: 5.2019 5.2019 5.5651
angles: 90.00 90.00 90.00
Space group P4/mmm (No. 123)
Inequivalent atoms, fractional coordinates:
Hf 0.0000 0.0000 0.0000 x1
Zn 0.0000 0.5000 0.5000 x2
Ag 0.5000 0.5000 0.0000 x1
Bi 0.0000 0.0000 0.5000 x1


Entry 11:
Material: ZnCuPt2
Method: DFT, GGA-PBE
State: optimized geometry

Computed properties:
* calculated formation energy: -317 meV/atom
* VASP energy: -37.44 eV/cell
* total magnetic moment: 0.0 μB/f.u.
* Fermi-level density of states: 0.575 states/eV/atom

abc: 9.7346 2.8106 4.5419
angles: 90.00 111.77 90.00
Space group Cm (No. 8)
Inequivalent atoms, fractional coordinates:
Zn 0.0000 0.0000 0.0000 x2
Cu 0.2490 0.0000 0.6012 x2
Pt 0.0013 0.5000 0.5051 x2
Pt 0.2479 0.5000 0.0975 x2


Entry 12:
Material: TbNbP2
Method: DFT, GGA-PBE
State: optimized geometry

Computed properties:
* calculated formation energy: -1119 meV/atom
* VASP energy: -89.99 eV/cell
* total magnetic moment: 0.0 μB/f.u.
* Fermi-level density of states: 0.395 states/eV/atom
* distance to the lowest polymorph of the same formula: 62.4 meV per atom

abc: 3.7590 3.7590 18.7740
angles: 90.00 90.00 120.00
Space group R-3m (No. 166, hexagonal axes)
Inequivalent atoms, fractional coordinates:
Tb 0.0000 0.0000 0.0000 x3
Nb 0.0000 0.0000 0.5000 x3
P 0.0000 0.0000 0.2414 x6


> Fermi-level density of states of number 2 (GdHoIn)?

1.044 states/eV/atom